Density functional theory data (PBE) for an optimized crystal structure of BaRuN2.

CIF file:
```
data_BaRuN2
_chemical_formula_sum 'Ba3 Ru3 N6'
_cell_length_a 3.3932
_cell_length_b 3.3932
_cell_length_c 19.5783
_cell_angle_alpha 90.00
_cell_angle_beta 90.00
_cell_angle_gamma 120.00
_symmetry_space_group_name_H-M 'R -3 m'
_symmetry_Int_Tables_number 166
_symmetry_space_group_name_Hall '-R 3 2"'
loop_
_atom_site_label
_atom_site_type_symbol
_atom_site_fract_x
_atom_site_fract_y
_atom_site_fract_z
_atom_site_occupancy
Ba1 Ba 0.0000 0.0000 0.0000 1
Ru1 Ru 0.0000 0.0000 0.5000 1
N1 N 0.0000 0.0000 0.1286 1
```

Crystal system: trigonal
Calculated total energy, eV/atom: -6.273
DOS at the Fermi energy, states/eV per atom: 0.981
Formation energy (no corrections), eV per atom: 0.690
Magnetization, Bohr magnetons per cell: 0.000



Density functional theory data (PBE) for an optimized crystal structure of CrRe4W.

CIF file:
```
data_CrRe4W
_chemical_formula_sum 'Cr4 Re16 W4'
_cell_length_a 7.256
_cell_length_b 7.256
_cell_length_c 7.256
_cell_angle_alpha 90.00
_cell_angle_beta 90.00
_cell_angle_gamma 90.00
_symmetry_space_group_name_H-M 'F -4 3 m'
_symmetry_Int_Tables_number 216
_symmetry_space_group_name_Hall 'F -4 2 3'
loop_
_atom_site_label
_atom_site_type_symbol
_atom_site_fract_x
_atom_site_fract_y
_atom_site_fract_z
_atom_site_occupancy
Cr1 Cr 0.000 0.000 0.000 1
Re1 Re 0.126 0.126 0.626 1
W1 W 0.250 0.250 0.250 1
```

Crystal system: cubic
Calculated total energy, eV/atom: -11.714
DOS at the Fermi energy, states/eV per atom: 0.682
Energy of formation, eV per atom: 0.35
Magnetization, Bohr magnetons per cell: 8.291



Density functional theory data (PBE) for an optimized crystal structure of AcEuInGa.

CIF file:
```
data_AcEuInGa
_chemical_formula_sum 'Ac4 Eu4 In4 Ga4'
_cell_length_a 7.915
_cell_length_b 7.915
_cell_length_c 7.915
_cell_angle_alpha 90.00
_cell_angle_beta 90.00
_cell_angle_gamma 90.00
_symmetry_space_group_name_H-M 'F -4 3 m'
_symmetry_Int_Tables_number 216
_symmetry_space_group_name_Hall 'F -4 2 3'
loop_
_atom_site_label
_atom_site_type_symbol
_atom_site_fract_x
_atom_site_fract_y
_atom_site_fract_z
_atom_site_occupancy
Ac1 Ac 0.000 0.000 0.000 1
Eu1 Eu 0.000 0.000 0.500 1
In1 In 0.250 0.250 0.250 1
Ga1 Ga 0.250 0.250 0.750 1
```

Crystal system: cubic
Calculated total energy, eV/atom: -5.459
DOS at the Fermi energy, states/eV per atom: 2.335
Energy of formation, eV per atom: -0.42
Magnetization, Bohr magnetons per cell: 29.548



Density functional theory data (PBE) for an optimized crystal structure of LiCdI.

CIF file:
```
data_LiCdI
_chemical_formula_sum 'Li4 Cd4 I4'
_cell_length_a 5.876
_cell_length_b 5.878
_cell_length_c 10.402
_cell_angle_alpha 90.00
_cell_angle_beta 90.71
_cell_angle_gamma 90.00
_symmetry_space_group_name_H-M 'C 1 2/m 1'
_symmetry_Int_Tables_number 12
loop_
_symmetry_equiv_pos_as_xyz
'x,y,z'
'-x,-y,-z'
'-x,y,-z'
'x,-y,z'
'x+1/2,y+1/2,z'
'-x+1/2,-y+1/2,-z'
'-x+1/2,y+1/2,-z'
'x+1/2,-y+1/2,z'
loop_
_atom_site_label
_atom_site_type_symbol
_atom_site_fract_x
_atom_site_fract_y
_atom_site_fract_z
_atom_site_occupancy
Li1 Li 0.246 0.000 0.379 1
Cd1 Cd 0.250 0.000 0.001 1
I1 I 0.246 0.500 0.345 1
```

Crystal system: monoclinic
Calculated total energy, eV/atom: -2.113
DOS at the Fermi energy, states/eV per atom: 0.182
Formation energy (no corrections), eV per atom: -0.653
Magnetization, Bohr magnetons per cell: 0.000



Density functional theory data (PBE) for an optimized crystal structure of CaMo2Rh.

CIF file:
```
data_CaMo2Rh
_chemical_formula_sum 'Ca1 Mo2 Rh1'
_cell_length_a 3.231
_cell_length_b 3.231
_cell_length_c 7.046
_cell_angle_alpha 90.00
_cell_angle_beta 90.00
_cell_angle_gamma 90.00
_symmetry_space_group_name_H-M 'P 4 m m'
_symmetry_Int_Tables_number 99
loop_
_symmetry_equiv_pos_as_xyz
'x,y,z'
'-y,x,z'
'-x,-y,z'
'y,-x,z'
'-x,y,z'
'y,x,z'
'x,-y,z'
'-y,-x,z'
loop_
_atom_site_label
_atom_site_type_symbol
_atom_site_fract_x
_atom_site_fract_y
_atom_site_fract_z
_atom_site_occupancy
Ca1 Ca 0.000 0.000 0.000 1
Mo1 Mo 0.000 0.000 0.499 1
Mo2 Mo 0.500 0.500 0.319 1
Rh1 Rh 0.500 0.500 0.731 1
```

Crystal system: tetragonal
Calculated total energy, eV/atom: -7.553
DOS at the Fermi energy, states/eV per atom: 1.001
Energy of formation, eV per atom: 0.20
Magnetization, Bohr magnetons per cell: 0.000



Density functional theory data (PBE) for an optimized crystal structure of Tb6Tm3Th2Sc.

CIF file:
```
data_Tb6Tm3Th2Sc
_chemical_formula_sum 'Tb12 Tm6 Th4 Sc2'
_cell_length_a 6.091
_cell_length_b 10.546
_cell_length_c 11.719
_cell_angle_alpha 90.00
_cell_angle_beta 99.99
_cell_angle_gamma 90.00
_symmetry_space_group_name_H-M 'C 1 2/m 1'
_symmetry_Int_Tables_number 12
loop_
_symmetry_equiv_pos_as_xyz
'x,y,z'
'-x,-y,-z'
'-x,y,-z'
'x,-y,z'
'x+1/2,y+1/2,z'
'-x+1/2,-y+1/2,-z'
'-x+1/2,y+1/2,-z'
'x+1/2,-y+1/2,z'
loop_
_atom_site_label
_atom_site_type_symbol
_atom_site_fract_x
_atom_site_fract_y
_atom_site_fract_z
_atom_site_occupancy
Tb1 Tb 0.249 0.166 0.248 1
Tb2 Tb 0.250 0.000 0.752 1
Tm1 Tm 0.000 0.167 0.500 1
Tm2 Tm 0.000 0.500 0.500 1
Th1 Th 0.000 0.334 0.000 1
Sc1 Sc 0.000 0.000 0.000 1
```

Crystal system: monoclinic
Calculated total energy, eV/atom: -5.164
DOS at the Fermi energy, states/eV per atom: 1.460
Energy of formation, eV per atom: 0.03
Magnetization, Bohr magnetons per cell: 0.000



Density functional theory data (PBE) for an optimized crystal structure of YAl6Cu3.

CIF file:
```
data_YAl6Cu3
_chemical_formula_sum 'Y2 Al12 Cu6'
_cell_length_a 8.711
_cell_length_b 4.037
_cell_length_c 9.842
_cell_angle_alpha 90.00
_cell_angle_beta 96.91
_cell_angle_gamma 90.00
_symmetry_space_group_name_H-M 'P 1 21/m 1'
_symmetry_Int_Tables_number 11
loop_
_symmetry_equiv_pos_as_xyz
'x,y,z'
'-x,-y,-z'
'-x,y+1/2,-z'
'x,-y+1/2,z'
loop_
_atom_site_label
_atom_site_type_symbol
_atom_site_fract_x
_atom_site_fract_y
_atom_site_fract_z
_atom_site_occupancy
Y1 Y 0.015 0.250 0.205 1
Al1 Al 0.099 0.750 0.459 1
Al2 Al 0.199 0.250 0.948 1
Al3 Al 0.213 0.250 0.678 1
Al4 Al 0.360 0.250 0.214 1
Al5 Al 0.412 0.750 0.577 1
Al6 Al 0.496 0.750 0.093 1
Cu1 Cu 0.214 0.750 0.090 1
Cu2 Cu 0.293 0.250 0.448 1
Cu3 Cu 0.343 0.750 0.834 1
```

Crystal system: monoclinic
Calculated total energy, eV/atom: -4.305
DOS at the Fermi energy, states/eV per atom: 0.431
Energy of formation, eV per atom: -0.18
Magnetization, Bohr magnetons per cell: 0.000



Density functional theory data (PBE) for an optimized crystal structure of ReTe2IO.

CIF file:
```
data_ReTe2IO
_chemical_formula_sum 'Re1 Te2 I1 O1'
_cell_length_a 5.133
_cell_length_b 5.133
_cell_length_c 5.603
_cell_angle_alpha 90.00
_cell_angle_beta 90.00
_cell_angle_gamma 90.00
_symmetry_space_group_name_H-M 'P 4/m m m'
_symmetry_Int_Tables_number 123
_symmetry_space_group_name_Hall '-P 4 2'
loop_
_atom_site_label
_atom_site_type_symbol
_atom_site_fract_x
_atom_site_fract_y
_atom_site_fract_z
_atom_site_occupancy
Re1 Re 0.000 0.000 0.000 1
Te1 Te 0.000 0.500 0.000 1
I1 I 0.000 0.000 0.500 1
O1 O 0.500 0.500 0.500 1
```

Crystal system: tetragonal
Calculated total energy, eV/atom: -3.961
DOS at the Fermi energy, states/eV per atom: 1.456
Formation energy (no corrections), eV per atom: 1.087
Magnetization, Bohr magnetons per cell: 0.047



Density functional theory data (PBE) for an optimized crystal structure of Cs3Rb7Cd4.

CIF file:
```
data_Cs3Rb7Cd4
_chemical_formula_sum 'Cs6 Rb14 Cd8'
_cell_length_a 24.509
_cell_length_b 5.739
_cell_length_c 15.718
_cell_angle_alpha 90.00
_cell_angle_beta 123.09
_cell_angle_gamma 90.00
_symmetry_space_group_name_H-M 'C 1 2/m 1'
_symmetry_Int_Tables_number 12
loop_
_symmetry_equiv_pos_as_xyz
'x,y,z'
'-x,-y,-z'
'-x,y,-z'
'x,-y,z'
'x+1/2,y+1/2,z'
'-x+1/2,-y+1/2,-z'
'-x+1/2,y+1/2,-z'
'x+1/2,-y+1/2,z'
loop_
_atom_site_label
_atom_site_type_symbol
_atom_site_fract_x
_atom_site_fract_y
_atom_site_fract_z
_atom_site_occupancy
Cs1 Cs 0.000 0.000 0.000 1
Cs2 Cs 0.196 0.500 0.709 1
Rb1 Rb 0.000 0.000 0.500 1
Rb2 Rb 0.006 0.500 0.266 1
Rb3 Rb 0.170 0.000 0.429 1
Rb4 Rb 0.183 0.500 0.020 1
Cd1 Cd 0.119 0.000 0.808 1
Cd2 Cd 0.163 0.500 0.252 1
```

Crystal system: monoclinic
Calculated total energy, eV/atom: -0.923
DOS at the Fermi energy, states/eV per atom: 0.530
Energy of formation, eV per atom: 0.01
Magnetization, Bohr magnetons per cell: 0.000



Density functional theory data (PBE) for an optimized crystal structure of BP2Au.

CIF file:
```
data_BP2Au
_chemical_formula_sum 'B4 P8 Au4'
_cell_length_a 5.315
_cell_length_b 5.315
_cell_length_c 8.957
_cell_angle_alpha 90.00
_cell_angle_beta 90.00
_cell_angle_gamma 90.00
_symmetry_space_group_name_H-M 'I -4 2 d'
_symmetry_Int_Tables_number 122
_symmetry_space_group_name_Hall 'I -4 2bw'
loop_
_atom_site_label
_atom_site_type_symbol
_atom_site_fract_x
_atom_site_fract_y
_atom_site_fract_z
_atom_site_occupancy
B1 B 0.000 0.000 0.000 1
P1 P 0.181 0.250 0.125 1
Au1 Au 0.000 0.000 0.500 1
```

Crystal system: tetragonal
Calculated total energy, eV/atom: -5.157
DOS at the Fermi energy, states/eV per atom: 0.107
Energy of formation, eV per atom: 0.04
Magnetization, Bohr magnetons per cell: 0.000



Density functional theory data (PBE) for an optimized crystal structure of LaCo2PtI.

CIF file:
```
data_LaCo2PtI
_chemical_formula_sum 'La1 Co2 Pt1 I1'
_cell_length_a 4.744
_cell_length_b 4.744
_cell_length_c 5.435
_cell_angle_alpha 90.00
_cell_angle_beta 90.00
_cell_angle_gamma 90.00
_symmetry_space_group_name_H-M 'P 4/m m m'
_symmetry_Int_Tables_number 123
_symmetry_space_group_name_Hall '-P 4 2'
loop_
_atom_site_label
_atom_site_type_symbol
_atom_site_fract_x
_atom_site_fract_y
_atom_site_fract_z
_atom_site_occupancy
La1 La 0.000 0.000 0.000 1
Co1 Co 0.000 0.500 0.000 1
Pt1 Pt 0.000 0.000 0.500 1
I1 I 0.500 0.500 0.500 1
```

Crystal system: tetragonal
Calculated total energy, eV/atom: -4.074
DOS at the Fermi energy, states/eV per atom: 0.759
Formation energy (no corrections), eV per atom: 1.272
Magnetization, Bohr magnetons per cell: 1.912



Density functional theory data (PBE) for an optimized crystal structure of ThNb6Sn6.

CIF file:
```
data_ThNb6Sn6
_chemical_formula_sum 'Th2 Nb12 Sn12'
_cell_length_a 5.820
_cell_length_b 9.621
_cell_length_c 10.081
_cell_angle_alpha 90.00
_cell_angle_beta 90.00
_cell_angle_gamma 90.00
_symmetry_space_group_name_H-M 'I m m m'
_symmetry_Int_Tables_number 71
_symmetry_space_group_name_Hall '-I 2 2'
loop_
_atom_site_label
_atom_site_type_symbol
_atom_site_fract_x
_atom_site_fract_y
_atom_site_fract_z
_atom_site_occupancy
Th1 Th 0.000 0.000 0.000 1
Nb1 Nb 0.000 0.250 0.500 1
Nb2 Nb 0.250 0.250 0.250 1
Sn1 Sn 0.000 0.000 0.336 1
Sn2 Sn 0.000 0.343 0.000 1
Sn3 Sn 0.000 0.500 0.332 1
```

Crystal system: orthorhombic
Calculated total energy, eV/atom: -7.385
DOS at the Fermi energy, states/eV per atom: 0.277
Energy of formation, eV per atom: -0.32
Magnetization, Bohr magnetons per cell: 0.000